1.
Computed, not measured: a relaxed Li8NbO6 crystal at the PBE level of DFT.

a = 6.0018 Å, b = 6.0018 Å, c = 6.0018 Å
α = 53.75°, β = 53.75°, γ = 53.75°
Positions (direct):
O 0.9110 0.6107 0.2354
Li 0.3402 0.3402 0.3402
Li 0.8939 0.2344 0.5105
Nb 0.0000 0.0000 0.0000
O 0.2354 0.9110 0.6107
Li 0.5105 0.8939 0.2344
O 0.7646 0.0890 0.3893
O 0.6107 0.2354 0.9110
O 0.0890 0.3893 0.7646
Li 0.6598 0.6598 0.6598
Li 0.7656 0.4895 0.1061
Li 0.4895 0.1061 0.7656
O 0.3893 0.7646 0.0890
Li 0.1061 0.7656 0.4895
Li 0.2344 0.5105 0.8939

## Properties
The calculation puts the volume at 131 Å³/cell. The calculation puts the energy at -84.77 eV per cell.



2.
Computed, not measured: a relaxed LiNbO3 crystal at the PBE level of DFT.

a = 5.4669 Å, b = 5.4669 Å, c = 5.4669 Å
α = 56.89°, β = 56.89°, γ = 56.89°
Positions (direct):
Li 0.7500 0.7500 0.7500
O 0.2500 0.6232 0.8768
Li 0.2500 0.2500 0.2500
Nb 0.0000 0.0000 0.0000
Nb 0.5000 0.5000 0.5000
O 0.7500 0.3768 0.1232
O 0.1232 0.7500 0.3768
O 0.6232 0.8768 0.2500
O 0.3768 0.1232 0.7500
O 0.8768 0.2500 0.6232

## Properties
The calculation puts the volume at 107 Å³/cell. The calculation puts the energy at -78.16 eV per cell.



3.
Computed, not measured: a relaxed LiNbO3 crystal at the PBE level of DFT.

a = 5.2132 Å, b = 5.2132 Å, c = 5.5871 Å
α = 62.19°, β = 62.19°, γ = 60.00°
Positions (direct):
O 0.7229 0.0608 0.7612
Nb 0.3576 0.3576 0.9273
Li 0.8552 0.8552 0.4343
O 0.5449 0.2771 0.2388
O 0.0608 0.4551 0.7612
Nb 0.6424 0.6424 0.0727
Li 0.1448 0.1448 0.5657
O 0.9392 0.5449 0.2388
O 0.2771 0.9392 0.2388
O 0.4551 0.7229 0.7612

## Properties
The calculation puts the volume at 111 Å³/cell. The calculation puts the energy at -78.29 eV per cell.



4.
Computed, not measured: a relaxed Li3NbO4 crystal at the PBE level of DFT.

a = 6.5104 Å, b = 5.6073 Å, c = 4.9629 Å
α = 90.00°, β = 90.00°, γ = 90.00°
Positions (direct):
Nb 0.0000 0.1646 0.0054
O 0.2381 0.3260 0.1163
Nb 0.5000 0.8354 0.5054
Li 0.2466 0.6619 0.0123
Li 0.0000 0.8183 0.5108
O 0.7381 0.6740 0.6163
O 0.0000 0.1661 0.6263
Li 0.2534 0.3381 0.5123
O 0.2619 0.6740 0.6163
O 0.5000 0.8339 0.1263
O 0.0000 0.8443 0.1156
O 0.5000 0.1557 0.6156
Li 0.7534 0.6619 0.0123
Li 0.5000 0.1817 0.0108
O 0.7619 0.3260 0.1163
Li 0.7466 0.3381 0.5123

## Properties
The calculation puts the energy above the most stable polymorph in this dataset at 0 meV/atom. The calculation puts the volume at 181 Å³/cell. The calculation puts the energy at -109.27 eV per cell.



5.
Computed, not measured: a relaxed Li6Nb2O7 crystal at the PBE level of DFT.

a = 5.1500 Å, b = 5.9102 Å, c = 5.2365 Å
α = 87.11°, β = 102.27°, γ = 108.25°
Positions (direct):
Li 0.9484 0.4986 0.0096
Li 0.9886 0.9721 0.9953
O 0.7358 0.1747 0.1219
Nb 0.5228 0.8755 0.2468
O 0.2448 0.0477 0.3650
O 0.2500 0.8125 0.8750
O 0.7231 0.6641 0.1160
O 0.2552 0.5773 0.3850
O 0.7769 0.9609 0.6340
Li 0.0000 0.2618 0.4565
Li 0.5001 0.3632 0.2935
Li 0.5114 0.6529 0.7547
O 0.7642 0.4503 0.6281
Li 0.5516 0.1264 0.7404
Nb 0.9772 0.7495 0.5032

## Properties
The calculation puts the volume at 148 Å³/cell. The calculation puts the energy at -99.24 eV per cell.



6.
Computed, not measured: a relaxed Li4NbOsO6 crystal at the PBE level of DFT.

a = 5.0017 Å, b = 5.0017 Å, c = 5.2215 Å
α = 99.49°, β = 99.49°, γ = 118.04°
Last column: magnetic moment on the atom in μB.
Positions (direct):
Li 0.5032 0.4968 0.0000  0.00
Os 0.1517 0.8483 0.0000  0.75
Nb 0.8535 0.1465 0.0000  -0.03
O 0.5769 0.9273 0.2312  0.02
O 0.4203 0.0809 0.7666  0.07
Li 0.6594 0.3406 0.5000  0.00
Li 0.3335 0.6665 0.5000  0.00
O 0.7400 0.7403 0.7333  0.01
Li 0.0098 0.9902 0.5000  0.00
O 0.2598 0.2600 0.2667  0.02
O 0.0727 0.4231 0.7688  0.02
O 0.9191 0.5797 0.2334  0.07

## Properties
The calculation puts the volume at 109 Å³/cell. The calculation puts the energy at -81.60 eV per cell.



7.
Computed, not measured: a relaxed Li2NbPO4 crystal at the PBE level of DFT.

a = 2.9195 Å, b = 2.9195 Å, c = 10.3250 Å
α = 90.00°, β = 90.00°, γ = 120.00°
Positions (direct):
P 0.6667 0.3333 0.5000
Li 0.3333 0.6667 0.2525
O 0.6667 0.3333 0.8704
O 0.0000 0.0000 0.3758
Li 0.3333 0.6667 0.7475
Nb 0.0000 0.0000 0.0000
O 0.0000 0.0000 0.6242
O 0.6667 0.3333 0.1296

## Properties
The calculation puts the volume at 76 Å³/cell. The calculation puts the energy at -52.12 eV per cell.



8.
Computed, not measured: a relaxed Li4PaNbO6 crystal at the PBE level of DFT.

a = 5.4067 Å, b = 5.4067 Å, c = 5.2682 Å
α = 99.30°, β = 99.30°, γ = 119.82°
Last column: magnetic moment on the atom in μB.
Positions (direct):
O 0.5934 0.9159 0.2361  0.01
Li 0.3559 0.6441 0.5000  0.00
O 0.0841 0.4066 0.7639  0.01
O 0.4369 0.0865 0.7559  0.02
Nb 0.8388 0.1612 0.0000  1.20
O 0.2463 0.2579 0.2593  0.02
Li 0.5009 0.4991 0.0000  0.00
Li 0.6474 0.3526 0.5000  0.00
O 0.7421 0.7537 0.7407  0.02
O 0.9135 0.5631 0.2441  0.01
Pa 0.1632 0.8368 0.0000  0.47
Li 0.9775 0.0225 0.5000  0.00

## Properties
The calculation puts the volume at 126 Å³/cell. The calculation puts the energy at -83.56 eV per cell.



9.
Computed, not measured: a relaxed Li3Nb3Pb2O12 crystal at the PBE level of DFT.

a = 10.4584 Å, b = 10.4584 Å, c = 10.4584 Å
α = 109.47°, β = 109.47°, γ = 109.47°
Positions (direct):
O 0.2608 0.8138 0.8984
Li 0.1250 0.3750 0.2500
Li 0.2500 0.1250 0.3750
O 0.5847 0.3985 0.1377
Pb 0.0000 0.0000 0.0000
O 0.0847 0.1377 0.3985
O 0.7608 0.3623 0.9470
O 0.5847 0.6862 0.4470
O 0.7608 0.8984 0.8138
Li 0.8750 0.6250 0.7500
O 0.3138 0.4153 0.0530
Nb 0.8750 0.2500 0.6250
Li 0.3750 0.7500 0.6250
Li 0.8750 0.7500 0.1250
O 0.1015 0.3623 0.4153
O 0.0530 0.8138 0.9153
Pb 0.5000 0.5000 0.5000
Pb 0.5000 0.0000 0.0000
Nb 0.6250 0.3750 0.7500
Nb 0.8750 0.1250 0.2500
O 0.5530 0.9153 0.8138
O 0.6377 0.8984 0.0847
Li 0.2500 0.6250 0.8750
Nb 0.3750 0.6250 0.2500
Nb 0.2500 0.8750 0.1250
Nb 0.7500 0.6250 0.3750
O 0.2608 0.9470 0.3623
Nb 0.7500 0.1250 0.8750
O 0.1377 0.0847 0.8984
O 0.8984 0.7608 0.3138
O 0.9153 0.8623 0.6016
Nb 0.2500 0.3750 0.6250
Nb 0.6250 0.7500 0.8750
Li 0.3750 0.1250 0.7500
O 0.6862 0.6016 0.7392
Li 0.7500 0.8750 0.6250
O 0.1377 0.5530 0.2392
O 0.4153 0.3138 0.5530
O 0.8138 0.2608 0.3985
O 0.2392 0.6377 0.0530
O 0.4153 0.6016 0.8623
O 0.8138 0.0530 0.4153
O 0.3623 0.1016 0.9153
O 0.6862 0.5847 0.9470
Li 0.6250 0.2500 0.3750
O 0.3138 0.3985 0.2608
O 0.6016 0.6862 0.2392
Nb 0.1250 0.8750 0.7500
O 0.3623 0.7608 0.4470
O 0.9470 0.2608 0.8623
O 0.6016 0.4153 0.3623
O 0.2392 0.1015 0.1862
O 0.4470 0.8623 0.2608
O 0.1862 0.9470 0.5847
Li 0.6250 0.8750 0.2500
Nb 0.3750 0.2500 0.1250
Pb 0.0000 0.0000 0.5000
Li 0.1250 0.2500 0.8750
Pb 0.5000 0.5000 0.0000
Pb 0.0000 0.5000 0.0000
O 0.8623 0.4470 0.7608
Li 0.7500 0.3750 0.1250
O 0.7392 0.0530 0.6377
O 0.3985 0.5847 0.6377
Pb 0.0000 0.5000 0.5000
O 0.9470 0.1862 0.0847
O 0.3985 0.3138 0.7608
O 0.6377 0.2392 0.5530
O 0.0530 0.7392 0.1377
O 0.5530 0.1377 0.7392
O 0.7392 0.1862 0.1016
O 0.9153 0.5530 0.3138
O 0.0847 0.4470 0.6862
O 0.8984 0.6377 0.5847
Pb 0.5000 0.0000 0.5000
O 0.8623 0.9153 0.1015
O 0.1862 0.7392 0.6016
O 0.1016 0.2392 0.6862
O 0.4470 0.0847 0.1862
Nb 0.1250 0.7500 0.3750

## Properties
The calculation puts the volume at 881 Å³/cell. The calculation puts the energy at -547.10 eV per cell.



10.
Computed, not measured: a relaxed Li3Nb2Pb3O12 crystal at the PBE level of DFT.

a = 10.6919 Å, b = 10.6919 Å, c = 10.6919 Å
α = 109.47°, β = 109.47°, γ = 109.47°
Positions (direct):
Nb 0.5000 0.0000 0.5000
Nb 0.5000 0.5000 0.5000
O 0.2084 0.6226 0.0301
Nb 0.0000 0.0000 0.5000
O 0.7916 0.9142 0.8217
O 0.0301 0.7084 0.1226
O 0.9699 0.2916 0.8774
Nb 0.0000 0.5000 0.0000
Li 0.3750 0.7500 0.6250
O 0.5924 0.6783 0.4699
O 0.3217 0.4076 0.0301
Nb 0.0000 0.5000 0.5000
O 0.2084 0.0858 0.1783
O 0.4699 0.0924 0.1783
Li 0.8750 0.6250 0.7500
Li 0.7500 0.3750 0.1250
O 0.6783 0.5858 0.7084
Li 0.1250 0.2500 0.8750
O 0.1783 0.9699 0.5924
O 0.4076 0.5858 0.8774
Pb 0.2500 0.3750 0.6250
O 0.9076 0.8774 0.5858
O 0.3774 0.0858 0.9076
Li 0.7500 0.8750 0.6250
Pb 0.6250 0.3750 0.7500
O 0.2916 0.8217 0.9142
O 0.7084 0.0301 0.6226
O 0.0924 0.1226 0.4142
Li 0.8750 0.7500 0.1250
Li 0.2500 0.1250 0.3750
Li 0.3750 0.1250 0.7500
O 0.0858 0.3774 0.4076
O 0.1783 0.7084 0.5858
Pb 0.2500 0.8750 0.1250
O 0.8774 0.9076 0.0858
Pb 0.1250 0.8750 0.7500
O 0.6226 0.2084 0.5301
O 0.5858 0.6783 0.2084
O 0.9142 0.6226 0.5924
O 0.8217 0.2916 0.4142
O 0.6226 0.9142 0.0924
Pb 0.1250 0.7500 0.3750
O 0.4142 0.3217 0.7916
Nb 0.0000 0.0000 0.0000
O 0.7916 0.3774 0.9699
O 0.9699 0.1783 0.0924
O 0.5924 0.4142 0.1226
Nb 0.5000 0.5000 0.0000
O 0.7084 0.1783 0.0858
Pb 0.7500 0.1250 0.8750
O 0.4699 0.8774 0.2916
Li 0.2500 0.6250 0.8750
Pb 0.7500 0.6250 0.3750
O 0.0858 0.2084 0.6783
O 0.6783 0.5924 0.9699
Pb 0.8750 0.2500 0.6250
Li 0.6250 0.8750 0.2500
Pb 0.8750 0.1250 0.2500
O 0.4076 0.3217 0.5301
O 0.1226 0.5301 0.2084
O 0.1226 0.0924 0.9142
Li 0.6250 0.2500 0.3750
O 0.0301 0.8217 0.9076
O 0.5301 0.9076 0.8217
Pb 0.3750 0.2500 0.1250
O 0.3217 0.4142 0.2916
O 0.8217 0.0301 0.4076
O 0.4142 0.5924 0.6226
O 0.5858 0.4076 0.3774
Pb 0.3750 0.6250 0.2500
Nb 0.5000 0.0000 0.0000
O 0.8774 0.4699 0.7916
O 0.2916 0.9699 0.3774
Li 0.1250 0.3750 0.2500
O 0.9142 0.7916 0.3217
O 0.3774 0.7916 0.4699
O 0.0924 0.4699 0.6783
O 0.5301 0.1226 0.7084
Pb 0.6250 0.7500 0.8750
O 0.9076 0.5301 0.3217

## Properties
The calculation puts the volume at 941 Å³/cell. The calculation puts the energy at -515.68 eV per cell.



11.
Computed, not measured: a relaxed Li4PrNbO6 crystal at the PBE level of DFT.

a = 5.6061 Å, b = 5.6061 Å, c = 5.2076 Å
α = 99.23°, β = 99.23°, γ = 120.97°
Positions (direct):
Pr 0.8362 0.1638 0.0000
Nb 0.1678 0.8322 0.0000
Li 0.3317 0.6683 0.5000
Li 0.5040 0.4960 0.0000
O 0.5244 0.8938 0.2412
O 0.9282 0.6106 0.2306
Li 0.6371 0.3629 0.5000
O 0.1062 0.4756 0.7588
O 0.7897 0.7485 0.7574
Li 0.0338 0.9662 0.5000
O 0.3894 0.0718 0.7694
O 0.2515 0.2103 0.2426

## Properties
The calculation puts the volume at 133 Å³/cell. The calculation puts the energy at -81.02 eV per cell.



12.
Computed, not measured: a relaxed RbLi6NbO6 crystal at the PBE level of DFT.

a = 5.3436 Å, b = 5.3436 Å, c = 5.3436 Å
α = 101.07°, β = 101.07°, γ = 101.07°
Positions (direct):
O 0.2727 0.2727 0.9150
O 0.7273 0.7273 0.0850
Nb 0.0000 0.0000 0.0000
O 0.0850 0.7273 0.7273
Li 0.3434 0.6566 0.0000
O 0.9150 0.2727 0.2727
Li 0.0000 0.6566 0.3434
Li 0.6566 0.0000 0.3434
O 0.7273 0.0850 0.7273
Li 0.0000 0.3434 0.6566
Li 0.3434 0.0000 0.6566
Li 0.6566 0.3434 0.0000
O 0.2727 0.9150 0.2727
Rb 0.5000 0.5000 0.5000

## Properties
The calculation puts the volume at 143 Å³/cell. The calculation puts the energy at -81.50 eV per cell.